Here is a relaxed BaAgCl crystal from Alexandria. Energies are from PBE.

Unit cell a=5.4351 b=5.4351 c=5.4351 alpha=60.00 beta=60.00 gamma=60.00
Fractional coordinates of all 3 atoms:
Cl1 0.0000 0.0000 0.0000
Ba1 0.7500 0.7500 0.7500
Ag1 0.5000 0.5000 0.5000

Output
Energy relative to the elements, uncorrected   -1.0633 eV/atom
V   37.84 A^3/atom
Electronic total energy   -9.8 eV for the cell shown
Offset from the most stable computed form   0.0 meV per atom

Here is a relaxed CaTh4In5 crystal from Alexandria. Energies are from PBE.

Unit cell a=3.5202 b=3.5202 c=23.0181 alpha=90.00 beta=90.00 gamma=90.00
Fractional coordinates of all 10 atoms:
Th1 0.0000 0.0000 0.1976
In1 0.5000 0.5000 0.0975
In2 0.5000 0.5000 0.9025
Ca1 0.0000 0.0000 0.0000
Th2 0.0000 0.0000 0.6009
In3 0.5000 0.5000 0.2984
Th3 0.0000 0.0000 0.8024
Th4 0.0000 0.0000 0.3991
In4 0.5000 0.5000 0.7016
In5 0.5000 0.5000 0.5000

Output
V   28.52 A^3/atom
ΔE_f   -315 meV/atom
Electronic total energy   -48.5 eV for the cell shown

Here is a relaxed ScNiRuPb crystal from Alexandria. Energies are from PBE.

Unit cell a=4.5755 b=4.5755 c=4.5755 alpha=60.00 beta=60.00 gamma=60.00
Fractional coordinates of all 4 atoms:
Sc1 0.0000 0.0000 0.0000
Pb1 0.5000 0.5000 0.5000
Ni1 0.2500 0.2500 0.2500
Ru1 0.7500 0.7500 0.7500

Output
V   16.93 A^3/atom
ΔE_f   -173 meV/atom
Electronic total energy   -25.8 eV for the cell shown

Here is a relaxed TbThCoPt crystal from Alexandria. Energies are from PBE.

Unit cell a=4.9651 b=4.9651 c=4.9651 alpha=60.00 beta=60.00 gamma=60.00
Each line ends with the local moment (μB).
Fractional coordinates of all 4 atoms:
Co1 0.7500 0.7500 0.7500  0.33
Pt1 0.2500 0.2500 0.2500  0.01
Tb1 0.5000 0.5000 0.5000  -0.03
Th1 0.0000 0.0000 0.0000  -0.02

Output
V   21.64 A^3/atom
ΔE_f   -581 meV/atom
Electronic total energy   -27.5 eV for the cell shown
Offset from the most stable computed form   188.4 meV per atom

Here is a relaxed AcGdPt crystal from Alexandria. Energies are from PBE.

Unit cell a=4.2736 b=4.2736 c=6.5523 alpha=90.00 beta=90.00 gamma=120.00
Each line ends with the local moment (μB).
Fractional coordinates of all 3 atoms:
Gd1 0.3333 0.6667 0.5679  7.07
Ac1 0.0000 0.0000 0.0814  0.07
Pt1 0.6667 0.3333 0.3507  0.00

Output
V   34.55 A^3/atom
ΔE_f   -758 meV/atom
Electronic total energy   -26.5 eV for the cell shown
Offset from the most stable computed form   0.0 meV per atom

Here is a relaxed CePr2Ga2 crystal from Alexandria. Energies are from PBE.

Unit cell a=4.6910 b=5.9791 c=5.9791 alpha=68.54 beta=66.93 gamma=66.93
Each line ends with the local moment (μB).
Fractional coordinates of all 5 atoms:
Pr1 0.2984 0.2018 0.7018  -0.02
Ga1 0.0000 0.1995 0.3005  -0.01
Ga2 0.0000 0.8005 0.6995  -0.01
Ce1 0.5000 0.5000 0.0000  0.37
Pr2 0.7016 0.7982 0.2982  -0.02

Output
V   27.48 A^3/atom
ΔE_f   -428 meV/atom
Electronic total energy   -23.7 eV for the cell shown
Offset from the most stable computed form   0.0 meV per atom

Here is a relaxed TaReW crystal from Alexandria. Energies are from PBE.

Unit cell a=7.1066 b=6.9161 c=2.7846 alpha=82.42 beta=74.73 gamma=22.86
Fractional coordinates of all 3 atoms:
Ta1 0.6652 0.6652 0.3348
W1 0.3368 0.3368 0.6632
Re1 0.9980 0.9980 0.0020

Output
V   16.33 A^3/atom
ΔE_f   -67 meV/atom
Electronic total energy   -37.5 eV for the cell shown
Offset from the most stable computed form   156.4 meV per atom

Here is a relaxed HgTeMo2 crystal from Alexandria. Energies are from PBE.

Unit cell a=9.5208 b=9.5208 c=9.5208 alpha=19.71 beta=19.71 gamma=19.71
Fractional coordinates of all 4 atoms:
Mo1 0.9868 0.9868 0.9868
Hg1 0.7388 0.7388 0.7388
Te1 0.5149 0.5149 0.5149
Mo2 0.2594 0.2594 0.2594

Output
Energy relative to the elements, uncorrected   0.3019 eV/atom
V   21.46 A^3/atom
Electronic total energy   -23.9 eV for the cell shown
Offset from the most stable computed form   19.5 meV per atom